[1]
18
Lattice="8.305 -3.281 0.000 8.305 3.281 0.000 0.000 0.000 6.433" Properties=species:S:1:pos:R:3 comment="PBE Mg5Cd2Ni2, optimized geometry" ef_mev_per_atom=-91 mass_density_kg_m3=4393 vol_a3_per_atom=19.48 space_group="Cmce, No. 64" total_magnetization_mub_per_cell=0.00 energy_ev_per_atom=-2.4655 pbc="T T T"
Mg 0.000 0.000 0.000
Mg 6.415 2.148 4.337
Mg 6.415 1.133 1.121
Mg 10.195 2.148 4.337
Mg 10.195 1.133 1.121
Mg 8.305 0.000 3.216
Mg 6.415 -1.133 5.312
Mg 6.415 -2.148 2.095
Mg 10.195 -1.133 5.312
Mg 10.195 -2.148 2.095
Cd 3.840 0.000 0.000
Cd 4.465 0.000 3.216
Cd 12.145 0.000 3.216
Cd 12.770 0.000 0.000
Ni 8.305 2.455 2.422
Ni 8.305 0.826 5.639
Ni 8.305 -0.826 0.794
Ni 8.305 -2.455 4.011



[2]
8
Lattice="-1.778 1.778 10.820 1.778 -1.778 10.820 1.778 1.778 -10.820" Properties=species:S:1:pos:R:3 comment="PBE ZrAg2C, optimized geometry" ef_mev_per_atom=565 mass_density_kg_m3=7740 vol_a3_per_atom=17.11 space_group="I-42d, No. 122" total_magnetization_mub_per_cell=0.00 energy_ev_per_atom=-5.3039 pbc="T T T"
Zr 0.000 0.000 0.000
Zr 0.000 1.778 5.410
Ag 0.889 -0.877 8.115
Ag 0.902 0.889 2.705
Ag 0.889 2.655 -2.705
Ag 0.877 0.889 13.524
C 1.778 0.000 5.410
C 0.000 0.000 10.820